WC2 (GGA-PBE, relaxed); space group = No. 191; uncorrected energy = -8.359 eV/atom; magnetization = 0.0 Bohr magnetons per cell
1.0
3.363 0.000 0.000
-1.681 2.912 0.000
0.000 0.000 2.779
C W
2 1
Direct
0.667 0.333 0.500 C
0.333 0.667 0.500 C
0.000 0.000 0.000 W